The following is a DFT calculation (PBE-GGA) of a relaxed structure of Ac2CePrSe6.

Computed properties:
As for the uncorrected formation energy: -1.89 eV/atom. For the total DFT energy (no corrections), the calculation gives -5.87 eV/atom.

abc: 7.7303 7.7303 20.1214
angles: 90.00 90.00 120.00
Space group R3 (No. 146, hexagonal axes)
Asymmetric unit:
1 Ac 0.0000 0.0000 0.0000 (multiplicity 3)
2 Ac 0.0000 0.0000 0.4994 (multiplicity 3)
3 Ce 0.0000 0.0000 0.7073 (multiplicity 3)
4 Pr 0.0000 0.0000 0.2083 (multiplicity 3)
5 Se 0.0512 0.6902 0.7754 (multiplicity 9)
6 Se 0.0519 0.3625 0.2757 (multiplicity 9)